# Rb3BaV2F9 (PBE with a Hubbard U, optimized geometry)
data_Rb3BaV2F9
_chemical_formula_sum 'Rb3 Ba1 V2 F9'
_cell_length_a 6.2534
_cell_length_b 6.2534
_cell_length_c 8.3022
_cell_angle_alpha 90.00
_cell_angle_beta 90.00
_cell_angle_gamma 120.00
_symmetry_space_group_name_H-M 'P 1'
_symmetry_Int_Tables_number 1
loop_
_symmetry_equiv_pos_as_xyz
'x,y,z'
loop_
_atom_site_label
_atom_site_type_symbol
_atom_site_fract_x
_atom_site_fract_y
_atom_site_fract_z
Rb1 Rb 0.6667 0.3333 0.2756
Rb2 Rb 0.3333 0.6667 0.7244
Rb3 Rb 0.0000 0.0000 0.0000
Ba1 Ba 0.0000 0.0000 0.5000
F1 F 0.8240 0.6480 0.7054
F2 F 0.3520 0.1760 0.7054
F3 F 0.0000 0.5000 0.0000
F4 F 0.1760 0.3520 0.2946
F5 F 0.5000 0.0000 0.0000
F6 F 0.8240 0.1760 0.7054
F7 F 0.1760 0.8240 0.2946
F8 F 0.5000 0.5000 0.0000
F9 F 0.6480 0.8240 0.2946
V1 V 0.3333 0.6667 0.1480
V2 V 0.6667 0.3333 0.8520
# **DOS(E_F)**: 0.00 states/eV/atom
# **Total DFT energy (no corrections)**: -80.5 eV per formula unit